No. 1
Below is a relaxed Tb7Y2Tm3 crystal, with properties calculated at the PBE-GGA level.

The structure in extended XYZ format:
```
12
Lattice="6.313 0.000 0.000 0.000 3.506 0.000 -1.865 0.000 17.227" Properties=species:S:1:pos:R:3 pbc="T T T"
Tb 0.000 0.000 0.000
Tb 1.115 1.753 2.911
Tb 0.692 1.753 8.582
Tb 0.177 0.000 14.389
Tb 4.271 0.000 2.838
Tb 3.756 1.753 8.646
Tb 3.333 1.753 14.317
Y -0.874 1.753 11.581
Y 5.322 1.753 5.646
Tm 2.201 0.000 5.900
Tm 3.157 1.753 0.000
Tm 2.248 0.000 11.328
```

volume: 31.78 Å³/atom
E above lowest polymorph: 0.000 eV per formula unit
formation energy from the elements: 1.74 kcal/mol of atoms

No. 2
Below is a relaxed Ac2La7Pm3 crystal, with properties calculated at the PBE-GGA level.

The structure in extended XYZ format:
```
12
Lattice="6.106 0.000 0.000 0.000 3.735 0.000 -1.218 0.000 19.973" Properties=species:S:1:pos:R:3 pbc="T T T"
Ac 0.822 0.000 5.919
Ac 4.065 0.000 14.053
La 0.857 1.867 2.817
La 0.908 0.000 9.357
La 1.017 0.000 16.504
La 3.053 1.867 0.000
La 3.871 0.000 3.468
La 3.980 0.000 10.616
La 4.031 1.867 17.156
Pm 0.000 0.000 0.000
Pm 1.012 1.867 12.600
Pm 3.875 1.867 7.372
```

volume: 37.95 Å³/atom
E above lowest polymorph: 0.229 eV per formula unit
formation energy from the elements: 2.06 kcal/mol of atoms

No. 3
Below is a relaxed TmLuBiPb crystal, with properties calculated at the PBE-GGA level.

The structure in extended XYZ format:
```
4
Lattice="0.000 3.839 3.839 3.839 0.000 3.839 3.839 3.839 0.000" Properties=species:S:1:pos:R:3 pbc="T T T"
Tm 0.000 0.000 0.000
Lu 3.839 3.839 3.839
Bi 1.919 1.919 1.919
Pb 5.758 5.758 5.758
```

volume: 28.29 Å³/atom
formation energy from the elements: -8.53 kcal/mol of atoms

No. 4
Below is a relaxed SiPPb2 crystal, with properties calculated at the PBE-GGA level.

The structure in extended XYZ format:
```
4
Lattice="1.760 -3.006 0.000 1.760 3.006 0.000 0.000 0.000 9.452" Properties=species:S:1:pos:R:3 pbc="T T T"
Si 0.000 0.000 0.000
P 1.760 0.000 1.401
Pb 0.000 0.000 3.967
Pb 1.760 0.000 6.910
```

volume: 25.00 Å³/atom
formation energy from raw total energies: 0.310 eV per atom
E above lowest polymorph: 0.990 eV per formula unit

No. 5
Below is a relaxed PrNd2Er4Sc crystal, with properties calculated at the PBE-GGA level.

The structure in extended XYZ format:
```
16
Lattice="-3.375 5.868 6.556 3.375 -5.868 6.556 3.375 5.868 -6.556" Properties=species:S:1:pos:R:3 pbc="T T T"
Pr 0.000 0.000 0.000
Pr 0.000 5.868 0.000
Nd 3.375 0.000 0.000
Nd -1.688 2.934 3.278
Nd 0.000 0.000 6.556
Nd 1.688 2.934 3.278
Er 3.375 5.675 -3.277
Er 3.375 -0.192 3.277
Er 1.689 2.934 -0.191
Er 5.062 2.934 -0.191
Er -1.687 2.934 6.746
Er 1.687 2.934 6.746
Er 0.000 6.060 3.279
Er 0.000 0.192 9.833
Sc 1.688 2.934 -3.278
Sc 1.688 -2.934 3.278
```

volume: 32.46 Å³/atom
formation energy from the elements: 9.48 kcal/mol of atoms

No. 6
Below is a relaxed Ac4TbNd3S8 crystal, with properties calculated at the PBE-GGA level.

The structure in extended XYZ format:
```
16
Lattice="4.157 2.400 6.852 -4.157 2.400 6.852 0.000 -4.800 6.852" Properties=species:S:1:pos:R:3 pbc="T T T"
Ac 0.000 0.000 0.000
Ac -2.079 -1.200 6.852
Ac -2.079 1.200 13.704
Ac 0.000 2.400 6.852
Tb 0.000 0.000 10.278
Nd -4.157 0.000 10.278
Nd -2.079 1.200 3.426
Nd 2.079 1.200 3.426
S 0.000 0.000 5.034
S -2.036 -1.175 11.853
S 0.000 -2.351 8.703
S -2.036 1.175 8.703
S 2.036 -1.175 11.853
S 0.000 2.351 11.853
S 2.036 1.175 8.703
S 0.000 0.000 15.522
```

volume: 25.64 Å³/atom
formation energy from raw total energies: -2.002 eV per atom

No. 7
Below is a relaxed Pr3Sb2H2 crystal, with properties calculated at the PBE-GGA level.

The structure in extended XYZ format:
```
14
Lattice="6.724 0.000 0.000 0.000 7.585 0.000 -4.558 0.000 7.039" Properties=species:S:1:pos:R:3 pbc="T T T"
Pr 0.000 0.000 0.000
Pr -2.279 3.793 3.519
Pr -0.808 0.465 4.872
Pr 1.471 3.327 1.352
Pr 0.695 4.258 5.686
Pr 2.974 7.120 2.167
Sb -2.404 5.513 6.179
Sb -0.125 5.864 2.660
Sb 2.291 1.721 4.379
Sb 4.570 2.072 0.860
H 1.607 1.052 1.199
H -0.672 2.740 4.718
H 2.838 4.845 2.320
H 0.559 6.533 5.840
```

volume: 25.64 Å³/atom
E above lowest polymorph: 0.000 eV per formula unit

No. 8
Below is a relaxed DyTh6Pb10 crystal, with properties calculated at the PBE-GGA level.

The structure in extended XYZ format:
```
17
Lattice="9.683 0.000 0.000 -4.841 8.386 0.000 0.000 0.000 6.440" Properties=species:S:1:pos:R:3 pbc="T T T"
Dy 0.000 0.000 0.000
Th -1.875 3.247 4.877
Th -2.967 5.138 1.563
Th 3.750 0.000 4.877
Th 1.875 3.247 1.563
Th 5.933 0.000 1.563
Th 2.967 5.138 4.877
Pb -1.273 2.206 1.778
Pb -3.568 6.180 4.662
Pb 2.547 0.000 1.778
Pb 1.273 2.206 4.662
Pb 0.000 5.590 0.000
Pb 0.000 5.590 3.220
Pb 4.841 2.795 0.000
Pb 4.841 2.795 3.220
Pb 7.136 0.000 4.662
Pb 3.568 6.180 1.778
```

volume: 30.76 Å³/atom
formation energy from the elements: -6.10 kcal/mol of atoms

No. 9
Below is a relaxed ScFe2H2 crystal, with properties calculated at the PBE-GGA level.

The structure in extended XYZ format:
```
5
Lattice="-1.699 1.699 4.418 1.699 -1.699 4.418 1.699 1.699 -4.418" Properties=species:S:1:pos:R:3 pbc="T T T"
Sc 0.000 0.000 0.000
Fe 1.699 0.000 2.209
Fe 0.000 1.699 2.209
H 0.000 0.000 3.013
H 0.000 0.000 5.823
```

volume: 10.20 Å³/atom
E above lowest polymorph: 0.000 eV per formula unit

No. 10
Below is a relaxed BS2ClF crystal, with properties calculated at the PBE-GGA level.

The structure in extended XYZ format:
```
5
Lattice="4.069 0.000 0.000 0.000 4.069 0.000 0.000 0.000 4.272" Properties=species:S:1:pos:R:3 pbc="T T T"
B 0.000 0.000 0.000
S 0.000 2.034 0.000
S 2.034 0.000 0.000
Cl 0.000 0.000 2.136
F 2.034 2.034 2.136
```

volume: 14.14 Å³/atom
formation energy from raw total energies: 0.635 eV per atom
E above lowest polymorph: 0.000 eV per formula unit

No. 11
Below is a relaxed NaNd2BiO5 crystal, with properties calculated at the PBE-GGA level.

The structure in extended XYZ format:
```
18
Lattice="6.854 0.000 0.000 0.000 6.854 0.000 0.000 0.000 6.507" Properties=species:S:1:pos:R:3 pbc="T T T"
Na 0.000 0.000 0.000
Na 3.427 3.427 0.000
Nd 1.205 2.222 3.253
Nd 2.222 5.650 3.253
Nd 4.632 1.205 3.253
Nd 5.650 4.632 3.253
Bi 0.000 3.427 0.000
Bi 3.427 0.000 0.000
O 0.000 0.000 3.253
O 1.009 4.436 1.731
O 1.009 4.436 4.776
O 2.418 1.009 1.731
O 2.418 1.009 4.776
O 3.427 3.427 3.253
O 4.436 5.845 1.731
O 4.436 5.845 4.776
O 5.845 2.418 1.731
O 5.845 2.418 4.776
```

volume: 16.98 Å³/atom
formation energy from raw total energies: -2.157 eV per atom

No. 12
Below is a relaxed BaBSb2I crystal, with properties calculated at the PBE-GGA level.

The structure in extended XYZ format:
```
5
Lattice="6.901 0.000 0.000 0.000 6.901 0.000 0.000 0.000 6.651" Properties=species:S:1:pos:R:3 pbc="T T T"
Ba 0.000 0.000 0.000
B 3.450 3.450 3.325
Sb 0.000 3.450 0.000
Sb 3.450 0.000 0.000
I 0.000 0.000 3.325
```

volume: 63.34 Å³/atom
formation energy from raw total energies: 1.402 eV per atom
E above lowest polymorph: 6.860 eV per formula unit

No. 13
Below is a relaxed Li2InMo crystal, with properties calculated at the PBE-GGA level.

The structure in extended XYZ format:
```
4
Lattice="2.723 0.000 0.000 0.000 4.473 0.000 0.000 0.000 5.643" Properties=species:S:1:pos:R:3 pbc="T T T"
Li 0.000 0.000 1.305
Li 0.000 0.000 4.338
In 1.362 2.237 2.821
Mo 1.362 2.237 0.000
```

volume: 17.19 Å³/atom
formation energy from the elements: 7.48 kcal/mol of atoms

No. 14
Below is a relaxed Sb2TeCl crystal, with properties calculated at the PBE-GGA level.

The structure in extended XYZ format:
```
4
Lattice="0.000 3.745 3.745 3.745 0.000 3.745 3.745 3.745 0.000" Properties=species:S:1:pos:R:3 pbc="T T T"
Sb 1.872 1.872 1.872
Sb 5.617 5.617 5.617
Te 0.000 0.000 0.000
Cl 3.745 3.745 3.745
```

volume: 26.26 Å³/atom
formation energy from raw total energies: 0.092 eV per atom
E above lowest polymorph: 1.001 eV per formula unit

No. 15
Below is a relaxed NaHo3Te4 crystal, with properties calculated at the PBE-GGA level.

The structure in extended XYZ format:
```
16
Lattice="6.135 0.000 0.000 0.000 9.757 0.000 0.000 0.000 9.158" Properties=species:S:1:pos:R:3 pbc="T T T"
Na 1.534 2.439 0.740
Na 4.602 7.318 8.418
Ho 1.534 5.395 6.037
Ho 1.534 7.318 2.453
Ho 1.534 9.241 6.037
Ho 4.602 0.516 3.121
Ho 4.602 2.439 6.705
Ho 4.602 4.362 3.121
Te 1.534 0.478 3.169
Te 1.534 2.439 6.852
Te 1.534 4.400 3.169
Te 1.534 7.318 8.437
Te 4.602 2.439 0.721
Te 4.602 5.357 5.990
Te 4.602 7.318 2.307
Te 4.602 9.279 5.990
```

volume: 34.27 Å³/atom
formation energy from raw total energies: -1.115 eV per atom
E above lowest polymorph: 1.256 eV per formula unit

No. 16
Below is a relaxed AcLa4Pm3 crystal, with properties calculated at the PBE-GGA level.

The structure in extended XYZ format:
```
8
Lattice="8.449 -3.006 0.000 8.449 3.006 0.000 -2.167 0.000 5.857" Properties=species:S:1:pos:R:3 pbc="T T T"
Ac 0.000 0.000 0.000
La 1.028 0.000 3.441
La 3.912 0.000 1.071
La 10.820 0.000 4.786
La 13.704 0.000 2.416
Pm 4.406 0.000 4.710
Pm 7.366 0.000 2.928
Pm 10.326 0.000 1.147
```

volume: 37.19 Å³/atom
E above lowest polymorph: 0.000 eV per formula unit
formation energy from the elements: 1.67 kcal/mol of atoms

No. 17
Below is a relaxed Re2SbBr crystal, with properties calculated at the PBE-GGA level.

The structure in extended XYZ format:
```
4
Lattice="-2.165 2.165 3.851 2.165 -2.165 3.851 2.165 2.165 -3.851" Properties=species:S:1:pos:R:3 pbc="T T T"
Re 0.000 0.000 0.000
Re 0.000 2.165 1.925
Sb 2.165 0.000 1.925
Br 0.000 0.000 3.851
```

volume: 18.05 Å³/atom
formation energy from raw total energies: 1.340 eV per atom
E above lowest polymorph: 4.406 eV per formula unit

No. 18
Below is a relaxed Cs2HfNiRu crystal, with properties calculated at the PBE-GGA level.

The structure in extended XYZ format:
```
5
Lattice="7.358 0.000 0.000 0.000 7.358 0.000 0.000 0.000 4.619" Properties=species:S:1:pos:R:3 pbc="T T T"
Cs 0.000 3.679 0.000
Cs 3.679 0.000 0.000
Hf 0.000 0.000 0.000
Ni 3.679 3.679 2.310
Ru 0.000 0.000 2.310
```

volume: 50.02 Å³/atom
formation energy from the elements: 34.10 kcal/mol of atoms

No. 19
Below is a relaxed Ti2Hg2P crystal, with properties calculated at the PBE-GGA level.

The structure in extended XYZ format:
```
10
Lattice="6.409 0.000 0.000 0.000 6.409 0.000 0.000 0.000 4.687" Properties=species:S:1:pos:R:3 pbc="T T T"
Ti 1.040 2.165 0.000
Ti 2.165 5.370 0.000
Ti 4.244 1.040 0.000
Ti 5.370 4.244 0.000
Hg 1.015 4.219 2.344
Hg 2.190 1.015 2.344
Hg 4.219 5.394 2.344
Hg 5.394 2.190 2.344
P 0.000 0.000 0.000
P 3.205 3.205 0.000
```

volume: 19.25 Å³/atom
formation energy from the elements: -6.92 kcal/mol of atoms

No. 20
Below is a relaxed CsSrTe2 crystal, with properties calculated at the PBE-GGA level.

The structure in extended XYZ format:
```
4
Lattice="2.422 1.398 9.101 -2.422 1.398 9.101 0.000 -2.796 9.101" Properties=species:S:1:pos:R:3 pbc="T T T"
Cs 0.000 0.000 0.000
Sr 0.000 0.000 22.679
Te 0.000 0.000 6.331
Te 0.000 0.000 11.769
```

volume: 46.23 Å³/atom
formation energy from raw total energies: -1.095 eV per atom

No. 21
Below is a relaxed MnAg2Br crystal, with properties calculated at the PBE-GGA level.

The structure in extended XYZ format:
```
4
Lattice="-1.946 1.946 5.520 1.946 -1.946 5.520 1.946 1.946 -5.520" Properties=species:S:1:pos:R:3 pbc="T T T"
Mn 0.000 0.000 0.000
Ag 1.946 0.000 2.760
Ag 0.000 1.946 2.760
Br 0.000 0.000 5.520
```

volume: 20.91 Å³/atom
formation energy from raw total energies: 0.336 eV per atom
E above lowest polymorph: 1.065 eV per formula unit

No. 22
Below is a relaxed NpVInCl6 crystal, with properties calculated at the PBE-GGA level.

The structure in extended XYZ format:
```
18
Lattice="6.706 0.000 0.000 -3.353 5.808 0.000 0.000 0.000 14.399" Properties=species:S:1:pos:R:3 pbc="T T T"
Np 0.000 3.872 3.600
Np 3.353 1.936 10.799
V 0.000 3.872 10.799
V 3.353 1.936 3.600
In 0.000 0.000 0.000
In 0.000 0.000 7.200
Cl -1.067 2.187 9.304
Cl -1.993 3.790 12.295
Cl 1.067 2.187 12.295
Cl -0.926 5.639 9.304
Cl 2.428 0.169 2.104
Cl 1.360 2.018 5.095
Cl 1.993 3.790 9.304
Cl 0.926 5.639 12.295
Cl 4.279 0.169 5.095
Cl 2.286 3.621 2.104
Cl 5.346 2.018 2.104
Cl 4.420 3.621 5.095
```

volume: 31.16 Å³/atom
formation energy from raw total energies: -1.328 eV per atom

No. 23
Below is a relaxed BaBe2Tl crystal, with properties calculated at the PBE-GGA level.

The structure in extended XYZ format:
```
4
Lattice="-2.194 3.179 3.701 2.194 -3.179 3.701 2.194 3.179 -3.701" Properties=species:S:1:pos:R:3 pbc="T T T"
Ba 0.000 0.000 0.000
Be 2.194 0.000 2.587
Be 0.000 3.179 1.114
Tl 0.000 0.000 3.701
```

volume: 25.81 Å³/atom
E above lowest polymorph: 1.014 eV per formula unit
formation energy from the elements: 11.50 kcal/mol of atoms